A geometry-optimized NdErGe structure, computed with PBE-GGA.

```
NdErGe
1.0
4.754 0.000 0.000
-2.377 4.117 0.000
0.000 0.000 4.271
Nd Er Ge
1 1 1
Direct
0.000 0.000 0.000
0.333 0.667 0.521
0.667 0.333 0.395
```

Computed properties:
uncorrected energy = -15.2 eV/cell
symmetry = P3m1, No. 156
E_form = -0.421 eV per atom
volume = 27.9 Å³/atom
E above lowest polymorph = 96.3 meV/atom

=====

A geometry-optimized KCeVCl6 structure, computed with PBE-GGA.

```
KCeVCl6
1.0
6.807 0.000 0.000
-3.404 5.895 0.000
0.000 0.000 13.949
K Ce V Cl
2 2 2 12
Direct
0.000 0.000 0.000
0.000 0.000 0.500
0.333 0.667 0.250
0.667 0.333 0.750
0.333 0.667 0.750
0.667 0.333 0.250
0.033 0.378 0.644
0.033 0.654 0.856
0.346 0.378 0.856
0.346 0.967 0.644
0.378 0.033 0.144
0.378 0.346 0.356
0.622 0.654 0.644
0.622 0.967 0.856
0.654 0.033 0.356
0.654 0.622 0.144
0.967 0.346 0.144
0.967 0.622 0.356
```

Computed properties:
uncorrected energy = -87.1 eV/cell
symmetry = P-31c, No. 163
volume = 31.1 Å³/atom

=====

A geometry-optimized HfTi2Pd structure, computed with PBE-GGA.

```
HfTi2Pd
1.0
0.000 3.250 3.250
3.250 0.000 3.250
3.250 3.250 0.000
Hf Ti Pd
1 2 1
Direct
0.000 0.000 0.000
0.250 0.250 0.250
0.750 0.750 0.750
0.500 0.500 0.500
```

Computed properties:
uncorrected energy = -31.4 eV/cell
symmetry = Fm-3m, No. 225
E_form = -0.114 eV per atom
volume = 17.2 Å³/atom
E above lowest polymorph = 209.3 meV/atom

=====

A geometry-optimized CePm7Ho12 structure, computed with PBE-GGA.

```
CePm7Ho12
1.0
6.165 3.559 4.992
-6.165 3.559 4.992
0.000 -7.118 4.992
Ce Pm Ho
1 7 12
Direct
0.000 0.000 0.000
0.036 0.329 0.937
0.063 0.964 0.671
0.329 0.937 0.036
0.500 0.500 0.500
0.671 0.063 0.964
0.937 0.036 0.329
0.964 0.671 0.063
0.126 0.356 0.455
0.225 0.764 0.371
0.236 0.629 0.775
0.356 0.455 0.126
0.371 0.225 0.764
0.455 0.126 0.356
0.545 0.874 0.644
0.629 0.775 0.236
0.644 0.545 0.874
0.764 0.371 0.225
0.775 0.236 0.629
0.874 0.644 0.545
```

Computed properties:
uncorrected energy = -89.3 eV/cell
symmetry = R-3, No. 148
E_form = 0.240 eV per atom
volume = 32.9 Å³/atom

=====

A geometry-optimized ScRh2Se structure, computed with PBE-GGA.

```
ScRh2Se
1.0
-1.752 2.090 4.399
1.752 -2.090 4.399
1.752 2.090 -4.399
Sc Rh Se
1 2 1
Direct
0.000 0.000 0.000
0.474 0.474 0.000
0.731 0.231 0.500
0.259 0.759 0.500
```

Computed properties:
uncorrected energy = -27.0 eV/cell
symmetry = Imm2, No. 44
volume = 16.1 Å³/atom
E above lowest polymorph = 23.2 meV/atom

=====

A geometry-optimized Sr4Np3PaN8 structure, computed with PBE-GGA.

```
Sr4Np3PaN8
1.0
3.582 2.068 5.968
-3.582 2.068 5.968
0.000 -4.136 5.968
Sr Np Pa N
4 3 1 8
Direct
0.000 0.000 0.000
0.000 0.500 0.500
0.500 0.000 0.500
0.500 0.500 0.000
0.000 0.000 0.500
0.000 0.500 0.000
0.500 0.000 0.000
0.500 0.500 0.500
0.231 0.231 0.231
0.233 0.731 0.731
0.269 0.269 0.767
0.269 0.767 0.269
0.731 0.233 0.731
0.731 0.731 0.233
0.767 0.269 0.269
0.769 0.769 0.769
```

Computed properties:
uncorrected energy = -139.3 eV/cell
symmetry = R-3m, No. 166
volume = 16.6 Å³/atom

=====

A geometry-optimized Dy7Ho2Sc2 structure, computed with PBE-GGA.

```
Dy7Ho2Sc2
1.0
6.614 0.000 0.000
2.838 6.025 0.000
2.467 -0.506 8.457
Dy Ho Sc
7 2 2
Direct
0.000 0.000 0.000
0.147 0.514 0.800
0.374 0.433 0.142
0.392 0.947 0.204
0.608 0.053 0.796
0.626 0.567 0.858
0.853 0.486 0.200
0.007 0.242 0.546
0.993 0.758 0.454
0.458 0.758 0.553
0.542 0.242 0.447
```

Computed properties:
uncorrected energy = -52.2 eV/cell
symmetry = P-1, No. 2
E_form = 0.167 eV per atom
volume = 30.6 Å³/atom
E above lowest polymorph = 0.0 meV/atom

=====

A geometry-optimized CdP2Ir structure, computed with PBE-GGA.

```
CdP2Ir
1.0
4.329 0.000 0.000
0.000 4.329 0.000
0.000 0.000 3.418
Cd P Ir
1 2 1
Direct
0.000 0.000 0.000
0.000 0.500 0.500
0.500 0.000 0.500
0.500 0.500 0.000
```

Computed properties:
uncorrected energy = -18.7 eV/cell
symmetry = P4/mmm, No. 123
E_form = 0.481 eV per atom
volume = 16.0 Å³/atom

=====

A geometry-optimized ZrTaSb2 structure, computed with PBE-GGA.

```
ZrTaSb2
1.0
1.628 0.940 10.996
-1.628 0.940 10.996
0.000 -1.880 10.996
Zr Ta Sb
1 1 2
Direct
0.000 0.000 0.000
0.738 0.738 0.738
0.258 0.258 0.258
0.475 0.475 0.475
```

Computed properties:
uncorrected energy = -28.6 eV/cell
symmetry = R3m, No. 160
volume = 25.2 Å³/atom
E above lowest polymorph = 301.3 meV/atom

=====

A geometry-optimized CdSb2Ir structure, computed with PBE-GGA.

```
CdSb2Ir
1.0
3.269 0.000 0.000
0.000 3.269 0.000
0.000 0.000 8.579
Cd Sb Ir
1 2 1
Direct
0.000 0.000 0.000
0.500 0.500 0.305
0.500 0.500 0.695
0.000 0.000 0.500
```

Computed properties:
uncorrected energy = -17.8 eV/cell
symmetry = P4/mmm, No. 123
volume = 22.9 Å³/atom
E above lowest polymorph = 126.3 meV/atom

=====

A geometry-optimized Tc3Os2Pt2 structure, computed with PBE-GGA.

```
Tc3Os2Pt2
1.0
6.018 -1.365 0.000
6.018 1.365 0.000
-2.533 0.000 6.304
Tc Os Pt
3 2 2
Direct
0.000 0.000 0.000
0.284 0.284 0.865
0.716 0.716 0.135
0.424 0.424 0.267
0.576 0.576 0.733
0.139 0.139 0.428
0.861 0.861 0.572
```

Computed properties:
uncorrected energy = -65.8 eV/cell
symmetry = C2/m, No. 12
E_form = -0.027 eV per atom
volume = 14.8 Å³/atom

=====

A geometry-optimized Tb5Tl2Hg structure, computed with PBE-GGA.

```
Tb5Tl2Hg
1.0
-4.283 4.283 6.278
4.283 -4.283 6.278
4.283 4.283 -6.278
Tb Tl Hg
10 4 2
Direct
0.000 0.000 0.000
0.002 0.502 0.198
0.196 0.998 0.500
0.304 0.804 0.802
0.498 0.696 0.500
0.500 0.500 0.000
0.502 0.304 0.500
0.696 0.196 0.198
0.804 0.002 0.500
0.998 0.498 0.802
0.149 0.351 0.500
0.351 0.851 0.202
0.649 0.149 0.798
0.851 0.649 0.500
0.250 0.250 0.000
0.750 0.750 0.000
```

Computed properties:
uncorrected energy = -60.9 eV/cell
symmetry = I4/mcm, No. 140
E_form = -0.285 eV per atom
volume = 28.8 Å³/atom
E above lowest polymorph = 30.2 meV/atom

=====

A geometry-optimized KLiSc structure, computed with PBE-GGA.

```
KLiSc
1.0
3.486 0.000 0.000
-1.743 3.019 0.000
0.000 0.000 9.136
K Li Sc
1 1 1
Direct
0.000 0.000 0.000
0.667 0.333 0.362
0.333 0.667 0.627
```

Computed properties:
uncorrected energy = -8.1 eV/cell
symmetry = P3m1, No. 156
E_form = 0.421 eV per atom
volume = 32.0 Å³/atom
E above lowest polymorph = 0.0 meV/atom

=====

A geometry-optimized Tm3Te2Se2 structure, computed with PBE-GGA.

```
Tm3Te2Se2
1.0
8.138 -2.033 0.000
8.138 2.033 0.000
-0.290 0.000 6.187
Tm Te Se
3 2 2
Direct
0.000 0.000 0.000
0.186 0.186 0.743
0.814 0.814 0.257
0.173 0.173 0.245
0.827 0.827 0.755
0.431 0.431 0.252
0.569 0.569 0.748
```

Computed properties:
uncorrected energy = -37.3 eV/cell
symmetry = C2/m, No. 12
volume = 29.2 Å³/atom
E above lowest polymorph = 75.7 meV/atom

=====

A geometry-optimized Li2FeRh structure, computed with PBE-GGA.

```
Li2FeRh
1.0
0.000 2.924 2.924
2.924 0.000 2.924
2.924 2.924 0.000
Li Fe Rh
2 1 1
Direct
0.250 0.250 0.250
0.750 0.750 0.750
0.000 0.000 0.000
0.500 0.500 0.500
```

Computed properties:
uncorrected energy = -18.9 eV/cell
symmetry = Fm-3m, No. 225
E_form = 0.187 eV per atom
volume = 12.5 Å³/atom

=====

A geometry-optimized HRhPb2 structure, computed with PBE-GGA.

```
HRhPb2
1.0
3.259 0.000 0.000
0.000 1.845 6.477
0.000 -1.845 6.477
H Rh Pb
1 1 2
Direct
0.000 0.000 0.000
0.500 0.049 0.049
0.000 0.672 0.672
0.500 0.384 0.384
```

Computed properties:
uncorrected energy = -18.2 eV/cell
symmetry = Amm2, No. 38
volume = 19.5 Å³/atom
E above lowest polymorph = 12.7 meV/atom

=====

A geometry-optimized Mn2AlTl structure, computed with PBE-GGA.

```
Mn2AlTl
1.0
2.887 0.000 0.000
0.000 2.887 0.000
0.000 0.000 7.590
Mn Al Tl
2 1 1
Direct
0.000 0.000 0.216
0.000 0.000 0.784
0.500 0.500 0.000
0.500 0.500 0.500
```

Computed properties:
uncorrected energy = -23.6 eV/cell
symmetry = P4/mmm, No. 123
E_form = 0.217 eV per atom
volume = 15.8 Å³/atom
E above lowest polymorph = 0.0 meV/atom

=====

A geometry-optimized Na2NbCd2O6 structure, computed with PBE-GGA.

```
Na2NbCd2O6
1.0
2.972 -4.795 0.000
2.972 4.795 0.000
-2.280 0.000 5.566
Na Nb Cd O
2 1 2 6
Direct
0.175 0.825 0.000
0.825 0.175 0.000
0.000 0.000 0.500
0.338 0.662 0.500
0.662 0.338 0.500
0.055 0.361 0.715
0.219 0.219 0.305
0.361 0.055 0.715
0.639 0.945 0.285
0.781 0.781 0.695
0.945 0.639 0.285
```

Computed properties:
uncorrected energy = -61.5 eV/cell
symmetry = C2/m, No. 12
volume = 14.4 Å³/atom

=====

A geometry-optimized ThGa3CuPt structure, computed with PBE-GGA.

```
ThGa3CuPt
1.0
3.142 -6.076 0.000
3.142 6.076 0.000
0.000 0.000 6.006
Th Ga Cu Pt
2 6 2 2
Direct
0.217 0.783 0.750
0.783 0.217 0.250
0.209 0.209 0.000
0.209 0.209 0.500
0.355 0.645 0.250
0.645 0.355 0.750
0.791 0.791 0.000
0.791 0.791 0.500
0.443 0.557 0.750
0.557 0.443 0.250
0.151 0.849 0.250
0.849 0.151 0.750
```

Computed properties:
uncorrected energy = -57.4 eV/cell
symmetry = Cmcm, No. 63
E_form = -0.344 eV per atom
volume = 19.1 Å³/atom

=====

A geometry-optimized ScAsSe2 structure, computed with PBE-GGA.

```
ScAsSe2
1.0
3.625 0.000 0.000
0.000 3.625 0.000
0.000 0.000 7.480
Sc As Se
1 1 2
Direct
0.000 0.000 0.000
0.500 0.500 0.709
0.000 0.000 0.622
0.500 0.500 0.154
```

Computed properties:
uncorrected energy = -20.6 eV/cell
symmetry = P4mm, No. 99
volume = 24.6 Å³/atom